Record 1
Li17MgZn11 | Alexandria | GGA-PBE | optimized geometry; SG = Cm, No. 8; formation energy from the elements = -3.993 eV per formula unit; size of the total moment = 0.00 μB/cell; D(E_F) = 14.863 states/eV per cell
1.0
-6.704 -3.074 -4.238
3.209 -6.104 4.979
-2.386 6.851 4.818
Li Zn Mg
17 11 1
Direct
0.640 0.640 0.645
0.681 0.269 0.682
0.311 0.594 0.993
0.997 0.305 0.592
0.009 0.009 0.347
0.411 0.743 0.420
0.710 0.710 0.286
0.269 0.681 0.682
0.357 0.993 0.999
0.993 0.357 0.999
0.591 0.999 0.311
0.995 0.995 0.997
0.743 0.411 0.420
0.410 0.410 0.727
0.999 0.591 0.311
0.305 0.997 0.592
0.594 0.311 0.993
0.997 0.627 0.814
0.808 0.996 0.633
0.816 0.186 0.185
0.181 0.181 0.803
0.996 0.808 0.633
0.629 0.812 0.997
0.627 0.997 0.814
0.182 0.372 0.379
0.186 0.816 0.185
0.812 0.629 0.997
0.372 0.182 0.379
0.378 0.378 0.188

Record 2
ZrNpRh6 | Alexandria | GGA-PBE | optimized geometry; SG = P4/mmm, No. 123; formation energy from the elements = -4.437 eV per formula unit; size of the total moment = 1.02 μB/cell; D(E_F) = 11.093 states/eV per cell
1.0
-1.425 1.939 3.182
-3.280 -2.269 -0.086
3.536 -5.296 4.812
Rh Np Zr
6 1 1
Direct
0.500 0.000 0.752
0.500 0.500 0.500
0.000 0.500 0.248
0.000 0.500 0.752
0.500 0.000 0.248
0.500 0.500 0.000
0.000 0.000 0.000
0.000 0.000 0.500

Record 3
RbZrB | Alexandria | GGA-PBE | optimized geometry; SG = P-1, No. 2; formation energy from the elements = 1.254 eV per formula unit; energy above the lowest structure with this stoichiometry = 0.4193 eV per atom; size of the total moment = 0.00 μB/cell; D(E_F) = 2.334 states/eV per cell
1.0
-0.246 -3.301 0.295
1.373 -2.075 -6.297
7.073 -0.439 0.621
Rb Zr B
2 2 2
Direct
0.179 0.752 0.044
0.821 0.248 0.956
0.900 0.237 0.472
0.100 0.763 0.528
0.499 0.002 0.383
0.501 0.998 0.617

Record 4
LaSmAsN | Alexandria | GGA-PBE | optimized geometry; SG = P6_3mc, No. 186; formation energy from raw total energies = -1.21 eV/atom; size of the total moment = 0.00 μB/cell
1.0
4.091 0.000 0.000
-2.045 3.543 0.000
0.000 0.000 13.720
N Sm La As
2 2 2 2
Direct
0.000 0.000 0.982
0.000 0.000 0.482
0.667 0.333 0.413
0.333 0.667 0.913
0.000 0.000 0.647
0.000 0.000 0.147
0.667 0.333 0.770
0.333 0.667 0.270